{
  "formula": "YMgSc2Cu4",
  "functional": "PBE",
  "state": "optimized geometry",
  "cell": [[-4.050, -1.791, 1.290], [-1.391, -4.043, -1.732], [1.700, -5.666, 5.717]],
  "species": ["Cu", "Sc", "Mg", "Sc", "Cu", "Cu", "Cu", "Y"],
  "fractional_positions": [[0.876, 0.876, 0.373], [0.244, 0.244, 0.267], [0.500, 0.500, 0.500], [0.756, 0.756, 0.733], [0.124, 0.124, 0.627], [0.615, 0.615, 0.154], [0.385, 0.385, 0.846], [0.000, 0.000, 0.000]],
  "e_form_ev_per_atom": -0.209,
  "spacegroup": "R-3m, No. 166"
}